Crystalline Fe2AgIr at its relaxed geometry. Source: the Alexandria database, functional PBE-GGA.

Unit cell a=2.7308 b=2.7308 c=26.5865 alpha=90.00 beta=90.00 gamma=120.00
Last column: nearest neighbours and their distance in Å.
Space group R3m (No. 160, hexagonal axes)
Symmetry-distinct sites (fractional):
Fe 0.0000 0.0000 0.0000 x3  9 Fe 2.53-2.73, 3 Ag 2.81
Fe 0.0000 0.0000 0.2587 x3  9 Fe 2.53-2.73, 3 Ir 2.59
Ag 0.0000 0.0000 0.7540 x3  6 Ag 2.73, 3 Fe 2.81, 3 Ir 2.96
Ir 0.0000 0.0000 0.5148 x3  3 Fe 2.59, 6 Ir 2.73


Crystalline NaZrI2 at its relaxed geometry. Source: the Alexandria database, functional PBE-GGA.

excess energy over the best structure of this formula in the dataset = 0.0 meV/atom
formation energy (no corrections) = -235 meV/atom

Unit cell a=7.4841 b=7.4841 c=7.4841 alpha=90.00 beta=90.00 gamma=90.00
Last column: nearest neighbours and their distance in Å.
Space group Fm-3m (No. 225)
Symmetry-distinct sites (fractional):
Na 0.0000 0.0000 0.0000 x4  8 I 3.24
Zr 0.0000 0.0000 0.5000 x4  8 I 3.24
I 0.2500 0.2500 0.2500 x8  4 Zr 3.24, 4 Na 3.24


Crystalline Na5TlF6 at its relaxed geometry. Source: the Alexandria database, functional PBE-GGA.

formation energy (no corrections) = -2519 meV/atom

Unit cell a=6.0235 b=10.4039 c=5.9948 alpha=90.00 beta=109.84 gamma=90.00
Last column: nearest neighbours and their distance in Å.
Space group C2/m (No. 12)
Symmetry-distinct sites (fractional):
Na 0.0000 0.0000 0.0000 x2  6 F 2.25-2.50
Na 0.0000 0.1678 0.5000 x4  6 F 2.40-2.48
Na 0.0000 0.3342 0.0000 x4  6 F 2.26-2.53
Tl 0.0000 0.5000 0.5000 x2  6 F 2.64-2.67
F 0.2282 0.1826 0.2413 x8  5 Na 2.26-2.53
F 0.2307 0.0000 0.7741 x4  5 Na 2.25-2.48


Crystalline Ac5Pr2NdSm at its relaxed geometry. Source: the Alexandria database, functional PBE-GGA.

Unit cell a=8.5208 b=8.5208 c=20.7570 alpha=90.00 beta=90.00 gamma=90.00
Last column: nearest neighbours and their distance in Å.
Space group I4/mcm (No. 140)
Symmetry-distinct sites (fractional):
Ac 0.0000 0.0000 0.0000 x4  4 Pr 3.38
Ac 0.2204 0.2796 0.1363 x16  1 Pr 3.41, 1 Sm 3.55
Pr 0.1221 0.3779 0.5000 x8  1 Pr 2.94
Nd 0.0000 0.0000 0.2500 x4  8 Ac 3.84, 4 Sm 4.26
Sm 0.0000 0.5000 0.2500 x4  4 Ac 3.55


Results for VASP energy: -27.77; -13.91; -50.41; -37.16 (in eV/f.u., following the order of the records).